w | Here is a geometry-optimized Sm6YHo3 structure from the Alexandria database. Energies are from PBE-GGA.

Geometry as CIF:
```
data_Sm6YHo3
_chemical_formula_sum 'Sm12 Y2 Ho6'
_space_group_name_H-M_alt 'P 1'
_space_group_IT_number 1
_cell_length_a 6.4123
_cell_length_b 11.6998
_cell_length_c 11.6998
_cell_angle_alpha 130.77
_cell_angle_beta 90.00
_cell_angle_gamma 90.00
loop_
_space_group_symop_operation_xyz
'x,y,z'
loop_
_atom_site_label
_atom_site_fract_x
_atom_site_fract_y
_atom_site_fract_z
Ho1 0.9900 0.7059 0.9574
Sm1 0.5706 0.6204 0.7404
Ho2 0.4900 0.2941 0.0426
Sm2 0.7957 0.3017 0.6983
Ho3 0.9900 0.0426 0.2941
Sm3 0.8135 0.0153 0.9847
Y1 0.5132 0.8412 0.1588
Ho4 0.0922 0.4200 0.5800
Sm4 0.8247 0.8940 0.4554
Sm5 0.8247 0.5446 0.1060
Ho5 0.4900 0.9574 0.7059
Sm6 0.2957 0.6983 0.3017
Sm7 0.3247 0.4554 0.8940
Sm8 0.3135 0.9847 0.0153
Sm9 0.5706 0.2596 0.3796
Ho6 0.5922 0.5800 0.4200
Sm10 0.0706 0.3796 0.2596
Sm11 0.0706 0.7404 0.6204
Y2 0.0132 0.1588 0.8412
Sm12 0.3247 0.1060 0.5446
```

***

x | Here is a geometry-optimized Sm6YHo3 structure from the Alexandria database. Energies are from PBE-GGA.

Geometry as CIF:
```
data_Sm6YHo3
_chemical_formula_sum 'Sm12 Y2 Ho6'
_space_group_name_H-M_alt 'P 1'
_space_group_IT_number 1
_cell_length_a 6.3464
_cell_length_b 11.0455
_cell_length_c 11.0455
_cell_angle_alpha 120.89
_cell_angle_beta 90.00
_cell_angle_gamma 90.00
loop_
_space_group_symop_operation_xyz
'x,y,z'
loop_
_atom_site_label
_atom_site_fract_x
_atom_site_fract_y
_atom_site_fract_z
Sm1 0.0495 0.7148 0.6264
Sm2 0.6501 0.2804 0.7196
Sm3 0.3840 0.9661 0.0339
Ho1 0.4739 0.9460 0.7176
Ho2 0.4739 0.2824 0.0540
Sm4 0.5495 0.6264 0.7148
Sm5 0.3564 0.5190 0.9427
Sm6 0.8564 0.4810 0.0573
Sm7 0.5495 0.2852 0.3736
Y1 0.1079 0.1927 0.8073
Ho3 0.0838 0.3865 0.6135
Sm8 0.0495 0.3736 0.2852
Sm9 0.8564 0.9427 0.5190
Sm10 0.1501 0.7196 0.2804
Y2 0.6079 0.8073 0.1927
Ho4 0.5838 0.6135 0.3865
Ho5 0.9739 0.0540 0.2824
Ho6 0.9739 0.7176 0.9460
Sm11 0.8840 0.0339 0.9661
Sm12 0.3564 0.0573 0.4810
```

***

Most stable one: w, least stable one: x.

***

w | Here is a geometry-optimized Sm2Y3Ho structure from the Alexandria database. Energies are from PBE-GGA.

Geometry as CIF:
```
data_Sm2Y3Ho
_chemical_formula_sum 'Sm4 Y6 Ho2'
_space_group_name_H-M_alt 'P 1'
_space_group_IT_number 1
_cell_length_a 6.0289
_cell_length_b 12.3002
_cell_length_c 12.3002
_cell_angle_alpha 46.53
_cell_angle_beta 42.89
_cell_angle_gamma 42.89
loop_
_space_group_symop_operation_xyz
'x,y,z'
loop_
_atom_site_label
_atom_site_fract_x
_atom_site_fract_y
_atom_site_fract_z
Y1 0.0612 0.1493 0.3161
Y2 0.7500 0.6099 0.3901
Y3 0.2500 0.3901 0.6099
Sm1 0.6521 0.5864 0.1477
Y4 0.5612 0.3161 0.1493
Ho1 0.5000 0.0000 0.0000
Sm2 0.8479 0.8523 0.4136
Ho2 0.0000 0.0000 0.0000
Sm3 0.3479 0.4136 0.8523
Sm4 0.1521 0.1477 0.5864
Y5 0.4388 0.6839 0.8507
Y6 0.9388 0.8507 0.6839
```

***

x | Here is a geometry-optimized Sm2Y3Ho structure from the Alexandria database. Energies are from PBE-GGA.

Geometry as CIF:
```
data_Sm2Y3Ho
_chemical_formula_sum 'Sm4 Y6 Ho2'
_space_group_name_H-M_alt 'P 1'
_space_group_IT_number 1
_cell_length_a 3.5175
_cell_length_b 9.0981
_cell_length_c 13.0072
_cell_angle_alpha 78.05
_cell_angle_beta 82.23
_cell_angle_gamma 78.85
loop_
_space_group_symop_operation_xyz
'x,y,z'
loop_
_atom_site_label
_atom_site_fract_x
_atom_site_fract_y
_atom_site_fract_z
Sm1 0.1807 0.5196 0.1189
Y1 0.7380 0.8163 0.7076
Sm2 0.3433 0.8436 0.4699
Y2 0.9623 0.8621 0.2132
Y3 0.0377 0.1379 0.7868
Sm3 0.6567 0.1564 0.5301
Sm4 0.8193 0.4804 0.8811
Y4 0.2620 0.1837 0.2924
Ho1 0.4370 0.4834 0.6425
Y5 0.4011 0.1724 0.0255
Ho2 0.5630 0.5166 0.3575
Y6 0.5989 0.8276 0.9745
```

***

Most stable one: x, least stable one: w.

***

w | Here is a geometry-optimized SmY8Ho2 structure from the Alexandria database. Energies are from PBE-GGA.

Geometry as CIF:
```
data_SmY8Ho2
_chemical_formula_sum 'Sm1 Y8 Ho2'
_space_group_name_H-M_alt 'P 1'
_space_group_IT_number 1
_cell_length_a 5.8898
_cell_length_b 9.0402
_cell_length_c 9.2985
_cell_angle_alpha 60.91
_cell_angle_beta 74.43
_cell_angle_gamma 56.49
loop_
_space_group_symop_operation_xyz
'x,y,z'
loop_
_atom_site_label
_atom_site_fract_x
_atom_site_fract_y
_atom_site_fract_z
Y1 0.8218 0.0988 0.2385
Y2 0.8218 0.3373 0.7615
Y3 0.5000 0.7939 0.4123
Ho1 0.0000 0.6920 0.6159
Y4 0.2926 0.4285 0.0000
Y5 0.1782 0.9012 0.7615
Y6 0.5000 0.2061 0.5877
Sm1 0.5000 0.0000 0.0000
Y7 0.1782 0.6627 0.2385
Y8 0.7074 0.5715 0.0000
Ho2 0.0000 0.3080 0.3841
```

***

x | Here is a geometry-optimized SmY8Ho2 structure from the Alexandria database. Energies are from PBE-GGA.

Geometry as CIF:
```
data_SmY8Ho2
_chemical_formula_sum 'Sm1 Y8 Ho2'
_space_group_name_H-M_alt 'P 1'
_space_group_IT_number 1
_cell_length_a 5.4247
_cell_length_b 8.3681
_cell_length_c 8.3681
_cell_angle_alpha 105.05
_cell_angle_beta 90.12
_cell_angle_gamma 90.12
loop_
_space_group_symop_operation_xyz
'x,y,z'
loop_
_atom_site_label
_atom_site_fract_x
_atom_site_fract_y
_atom_site_fract_z
Y1 0.9996 0.6683 0.6683
Y2 0.4988 0.9723 0.7027
Y3 0.0000 0.2573 0.7469
Ho1 0.5000 0.3837 0.6227
Y4 0.4988 0.7027 0.9723
Y5 0.5011 0.3045 0.0339
Y6 0.0004 0.3383 0.3383
Sm1 0.0000 0.0034 0.0034
Ho2 0.5000 0.6227 0.3837
Y7 0.5011 0.0339 0.3045
Y8 0.0000 0.7469 0.2573
```

***

Most stable one: w, least stable one: x.

***

w | Here is a geometry-optimized SmY3Ho structure from the Alexandria database. Energies are from PBE-GGA.

Geometry as CIF:
```
data_SmY3Ho
_chemical_formula_sum 'Sm2 Y6 Ho2'
_space_group_name_H-M_alt 'P 1'
_space_group_IT_number 1
_cell_length_a 3.6240
_cell_length_b 8.4913
_cell_length_c 11.6956
_cell_angle_alpha 90.00
_cell_angle_beta 90.00
_cell_angle_gamma 102.28
loop_
_space_group_symop_operation_xyz
'x,y,z'
loop_
_atom_site_label
_atom_site_fract_x
_atom_site_fract_y
_atom_site_fract_z
Sm1 0.0018 0.5055 0.2500
Y1 0.1539 0.8072 0.9991
Ho1 0.6663 0.8315 0.7500
Ho2 0.3337 0.1685 0.2500
Y2 0.6743 0.8489 0.2500
Sm2 0.9982 0.4945 0.7500
Y3 0.3257 0.1511 0.7500
Y4 0.8461 0.1928 0.0009
Y5 0.8461 0.1928 0.4991
Y6 0.1539 0.8072 0.5009
```

***

x | Here is a geometry-optimized SmY3Ho structure from the Alexandria database. Energies are from PBE-GGA.

Geometry as CIF:
```
data_SmY3Ho
_chemical_formula_sum 'Sm2 Y6 Ho2'
_space_group_name_H-M_alt 'P 1'
_space_group_IT_number 1
_cell_length_a 5.0580
_cell_length_b 7.9872
_cell_length_c 7.9876
_cell_angle_alpha 89.99
_cell_angle_beta 90.00
_cell_angle_gamma 90.00
loop_
_space_group_symop_operation_xyz
'x,y,z'
loop_
_atom_site_label
_atom_site_fract_x
_atom_site_fract_y
_atom_site_fract_z
Y1 0.7500 0.1493 0.9508
Ho1 0.7500 0.7502 0.7505
Ho2 0.2500 0.2498 0.2495
Y2 0.2500 0.0500 0.6496
Sm1 0.2500 0.6491 0.4512
Sm2 0.7500 0.3509 0.5488
Y3 0.7500 0.9500 0.3504
Y4 0.2500 0.4500 0.8508
Y5 0.7500 0.5500 0.1492
Y6 0.2500 0.8507 0.0492
```

***

Most stable one: x, least stable one: w.